Co3HOs: relaxed, PBE-GGA.

Cell lengths 3.6348, 3.6348, 3.6348 Å; angles 90.00, 90.00, 90.00 degrees
Positions (direct):
Co: 0.0000 0.0000 0.5000
Co: 0.0000 0.5000 0.0000
Co: 0.5000 0.0000 0.0000
H: 0.0000 0.0000 0.0000
Os: 0.5000 0.5000 0.5000

- density of states at the Fermi level (states/eV per cell) = 4.79
- distance to the lowest polymorph of the same formula (eV per atom) = 0.000